DFT (PBE with a Hubbard U) results for a geometry-optimized TaZnWO6 structure.

The structure belongs to space group P-31c (No. 163); the cell edges are 5.2162, 5.2162 and 9.1601 Å and the angles 90.00°, 90.00° and 120.00°. Symmetry generates all atoms from Ta at (0.3333, 0.6667, 0.2500), Zn at (0.0000, 0.0000, 0.0000), W at (0.3333, 0.6667, 0.7500) and O at (0.0003, 0.3500, 0.1322).

As for the volume: 12.0 Å³/atom. The calculation puts the total energy at -7.604 eV per atom.